#w
Compound: Si3Hg
Source: the Alexandria database
Functional: PBE-GGA
Structure: relaxed

Cell lengths 5.779, 5.779, 5.779 Å; angles 141.64, 141.64, 55.37 degrees
Atoms (fractional coordinates):
Si 0.250 0.750 0.500
Si 0.750 0.250 0.500
Si 0.500 0.500 0.000
Hg 0.000 0.000 0.000

## Properties
Symmetry: I4/mmm
Volume: 73.8 Å³ per cell
Magnetic moment: 0.00 μB per cell

***

#x
Compound: Si3Hg
Source: the Alexandria database
Functional: PBE-GGA
Structure: relaxed

Cell lengths 4.174, 4.174, 4.174 Å; angles 90.00, 90.00, 90.00 degrees
Atoms (fractional coordinates):
Si 0.500 0.000 0.500
Si 0.000 0.500 0.500
Si 0.500 0.500 0.000
Hg 0.000 0.000 0.000

## Properties
Symmetry: Pm-3m
Volume: 72.7 Å³ per cell
Magnetic moment: 0.00 μB per cell

***

What is the stability order? It is #w, #x, from most stable to least stable.

***

#w
Compound: Tc5Mo
Source: the Alexandria database
Functional: PBE-GGA
Structure: relaxed

Cell lengths 4.794, 4.794, 5.245 Å; angles 117.19, 62.81, 120.00 degrees
Atoms (fractional coordinates):
Tc 0.831 0.500 0.500
Tc 0.667 0.333 0.999
Tc 0.333 0.667 0.001
Tc 0.169 0.169 0.500
Tc 0.500 0.831 0.500
Mo 0.000 0.000 0.000

## Properties
Symmetry: R32
Volume: 88.7 Å³ per cell
Magnetic moment: 0.00 μB per cell

***

#x
Compound: Tc5Mo
Source: the Alexandria database
Functional: PBE-GGA
Structure: relaxed

Cell lengths 5.020, 5.020, 4.429 Å; angles 90.00, 90.00, 120.00 degrees
Atoms (fractional coordinates):
Tc 0.500 0.500 0.500
Tc 0.333 0.667 0.000
Tc 0.000 0.500 0.500
Tc 0.500 0.000 0.500
Tc 0.667 0.333 0.000
Mo 0.000 0.000 0.000

## Properties
Symmetry: P6/mmm
Volume: 96.7 Å³ per cell
Magnetic moment: 0.00 μB per cell

***

What is the stability order? It is #w, #x, from most stable to least stable.

***

#w
Compound: K2TlAg
Source: the Alexandria database
Functional: PBE-GGA
Structure: relaxed

Cell lengths 6.409, 6.409, 6.409 Å; angles 132.05, 132.05, 70.15 degrees
Each line ends with the local moment (μB).
Atoms (fractional coordinates):
K 0.000 0.000 0.000  0.02
K 0.500 0.500 0.000  0.02
Tl 0.250 0.750 0.500  0.10
Ag 0.750 0.250 0.500  0.01

## Properties
Symmetry: I4/mmm
Volume: 142.3 Å³ per cell
Magnetic moment: 0.55 μB per cell

***

#x
Compound: K2TlAg
Source: the Alexandria database
Functional: PBE-GGA
Structure: relaxed

Cell lengths 6.879, 6.879, 6.879 Å; angles 143.71, 128.35, 64.75 degrees
Atoms (fractional coordinates):
K 0.731 0.231 0.500
K 0.030 0.030 0.000
Tl 0.452 0.452 0.000
Ag 0.288 0.788 0.500

## Properties
Symmetry: Imm2
Volume: 149.1 Å³ per cell
Magnetic moment: 0.00 μB per cell

***

What is the stability order? It is #x, #w, from most stable to least stable.